Material: VGaO2
Method: DFT, PBE+U
State: relaxed

Results
The calculation puts the total energy at -50.910 eV for the cell shown. Its space group is I-42d (122). As for the density: 3.94 g cm⁻³.

```
VGaO2
1.0
-2.7839 2.7839 4.1536
2.7839 -2.7839 4.1536
2.7839 2.7839 -4.1536
V Ga O
2 2 4
direct
0.0000 0.0000 0.0000
0.7500 0.2500 0.5000
0.2500 0.7500 0.5000
0.5000 0.5000 0.0000
0.0260 0.6250 0.9010
0.3750 0.2760 0.4010
0.7240 0.1250 0.0990
0.8750 0.9740 0.5990
```